Record 1
Density functional theory data (GGA+U) for a geometry-optimized TcMoO2 structure.

extended XYZ file:
```
8
Lattice="3.992 0.000 0.000 0.000 3.992 0.000 1.996 1.996 6.107" Properties=species:S:1:pos:R:3 pbc="T T T"
Tc 0.000 0.000 0.000
Tc 3.992 1.996 3.054
O 0.994 2.994 1.527
O 2.994 2.990 4.581
O 2.998 0.998 1.527
O 4.990 4.994 4.581
Mo 1.996 3.992 3.054
Mo 1.996 1.996 0.000
```

Record 2
Density functional theory data (GGA+U) for a geometry-optimized TlTcMoO6 structure.

extended XYZ file:
```
9
Lattice="5.334 0.001 0.000 2.668 4.619 0.000 0.000 -0.001 6.045" Properties=species:S:1:pos:R:3 pbc="T T T"
Tc 5.334 3.080 2.900
O 3.171 0.018 1.908
O 4.297 1.808 4.099
O 1.097 1.864 1.908
O 3.734 2.738 1.908
O 4.753 4.613 4.099
O 6.953 2.818 4.099
Tl 5.333 0.001 0.087
Mo 2.667 1.539 3.170
```

Final energy for the records above, in order: -58.28, -61.36 eV for the cell shown